No. 1
HoGa2Se4 | PBE | relaxed

The value obtained for the energy relative to the elements, uncorrected is -5.156 eV per formula unit. The space-group type is I4/m, No. 87.

```
data_HoGa2Se4
_cell_length_a 7.615
_cell_length_b 7.615
_cell_length_c 6.555
_cell_angle_alpha 90.00
_cell_angle_beta 90.00
_cell_angle_gamma 90.00
_space_group_name_H-M_alt 'P 1'
_space_group_IT_number 1
loop_
_space_group_symop_operation_xyz
'x,y,z'
loop_
_atom_site_label
_atom_site_fract_x
_atom_site_fract_y
_atom_site_fract_z
Ho1 0.000 0.000 0.000
Ho2 0.500 0.500 0.500
Ga1 0.000 0.500 0.250
Ga2 0.000 0.500 0.750
Ga3 0.500 0.000 0.250
Ga4 0.500 0.000 0.750
Se1 0.175 0.319 0.500
Se2 0.181 0.675 0.000
Se3 0.319 0.825 0.500
Se4 0.325 0.181 0.000
Se5 0.675 0.819 0.000
Se6 0.681 0.175 0.500
Se7 0.819 0.325 0.000
Se8 0.825 0.681 0.500
```

---

No. 2
Ho2GaSe | PBE | relaxed

The value obtained for the energy relative to the elements, uncorrected is -4.642 eV per formula unit. The space-group type is R-3m, No. 166. As for the energy relative to the lowest polymorph listed for this composition: 70.4 meV per atom.

```
data_Ho2GaSe
_cell_length_a 3.938
_cell_length_b 3.938
_cell_length_c 21.854
_cell_angle_alpha 90.00
_cell_angle_beta 90.00
_cell_angle_gamma 120.00
_space_group_name_H-M_alt 'P 1'
_space_group_IT_number 1
loop_
_space_group_symop_operation_xyz
'x,y,z'
loop_
_atom_site_label
_atom_site_fract_x
_atom_site_fract_y
_atom_site_fract_z
Ho1 0.000 0.000 0.249
Ho2 0.000 0.000 0.751
Ho3 0.333 0.667 0.418
Ho4 0.333 0.667 0.915
Ho5 0.667 0.333 0.085
Ho6 0.667 0.333 0.582
Ga1 0.000 0.000 0.000
Ga2 0.333 0.667 0.667
Ga3 0.667 0.333 0.333
Se1 0.000 0.000 0.500
Se2 0.333 0.667 0.167
Se3 0.667 0.333 0.833
```

---

No. 3
Ho2GaSe | PBE | relaxed

The value obtained for the energy relative to the elements, uncorrected is -4.326 eV per formula unit. The space-group type is R3m, No. 160. As for the energy relative to the lowest polymorph listed for this composition: 149.3 meV per atom.

```
data_Ho2GaSe
_cell_length_a 3.827
_cell_length_b 3.827
_cell_length_c 23.224
_cell_angle_alpha 90.00
_cell_angle_beta 90.00
_cell_angle_gamma 120.00
_space_group_name_H-M_alt 'P 1'
_space_group_IT_number 1
loop_
_space_group_symop_operation_xyz
'x,y,z'
loop_
_atom_site_label
_atom_site_fract_x
_atom_site_fract_y
_atom_site_fract_z
Ho1 0.000 0.000 0.000
Ho2 0.000 0.000 0.166
Ho3 0.333 0.667 0.667
Ho4 0.333 0.667 0.833
Ho5 0.667 0.333 0.333
Ho6 0.667 0.333 0.499
Ga1 0.000 0.000 0.582
Ga2 0.333 0.667 0.249
Ga3 0.667 0.333 0.916
Se1 0.000 0.000 0.751
Se2 0.333 0.667 0.417
Se3 0.667 0.333 0.084
```

---

No. 4
Ho4GaSiSe2 | PBE | relaxed

The value obtained for the energy relative to the elements, uncorrected is -9.644 eV per formula unit. The space-group type is I-4m2, No. 119.

```
data_Ho4GaSiSe2
_cell_length_a 5.781
_cell_length_b 5.781
_cell_length_c 11.621
_cell_angle_alpha 90.00
_cell_angle_beta 90.00
_cell_angle_gamma 90.00
_space_group_name_H-M_alt 'P 1'
_space_group_IT_number 1
loop_
_space_group_symop_operation_xyz
'x,y,z'
loop_
_atom_site_label
_atom_site_fract_x
_atom_site_fract_y
_atom_site_fract_z
Ho1 0.000 0.000 0.247
Ho2 0.000 0.000 0.753
Ho3 0.000 0.500 0.502
Ho4 0.000 0.500 0.998
Ho5 0.500 0.000 0.002
Ho6 0.500 0.000 0.498
Ho7 0.500 0.500 0.253
Ho8 0.500 0.500 0.747
Ga1 0.000 0.500 0.250
Ga2 0.500 0.000 0.750
Si1 0.000 0.000 0.000
Si2 0.500 0.500 0.500
Se1 0.000 0.000 0.500
Se2 0.000 0.500 0.750
Se3 0.500 0.000 0.250
Se4 0.500 0.500 0.000
```